[1]
Here is a geometry-optimized BeAl2Hg structure from Alexandria. Energies are from PBE.

**Energy above the most stable polymorph in this dataset**: 0.0013 eV/atom
**Magnetic moment**: 0.000 μB per atom
**Formation energy**: 0.27 eV per atom
**Space-group type**: No. 12

```
data_BeAl2Hg
_chemical_formula_sum 'Be1 Al2 Hg1'
_symmetry_space_group_name_H-M 'P 1'
_symmetry_Int_Tables_number 1
_cell_length_a 4.413
_cell_length_b 4.413
_cell_length_c 5.250
_cell_angle_alpha 79.09
_cell_angle_beta 79.09
_cell_angle_gamma 41.79
loop_
_symmetry_equiv_pos_as_xyz
'x,y,z'
loop_
_atom_site_label
_atom_site_fract_x
_atom_site_fract_y
_atom_site_fract_z
_atom_site_occupancy
Hg1 0.250 0.250 0.250 1
Be1 0.750 0.750 0.750 1
Al1 0.489 0.489 0.540 1
Al2 0.011 0.011 0.960 1
```

---

[2]
Here is a geometry-optimized Rb2Cd2Ga structure from Alexandria. Energies are from PBE.

**Energy above the most stable polymorph in this dataset**: 0.1949 eV/atom
**Magnetic moment**: 0.000 μB per atom
**Formation energy**: 0.24 eV per atom
**Space-group type**: No. 127

```
data_Rb2Cd2Ga
_chemical_formula_sum 'Rb4 Cd4 Ga2'
_symmetry_space_group_name_H-M 'P 1'
_symmetry_Int_Tables_number 1
_cell_length_a 10.744
_cell_length_b 10.744
_cell_length_c 3.489
_cell_angle_alpha 90.00
_cell_angle_beta 90.00
_cell_angle_gamma 90.00
loop_
_symmetry_equiv_pos_as_xyz
'x,y,z'
loop_
_atom_site_label
_atom_site_fract_x
_atom_site_fract_y
_atom_site_fract_z
_atom_site_occupancy
Rb1 0.694 0.194 0.000 1
Rb2 0.194 0.306 0.000 1
Rb3 0.306 0.806 0.000 1
Rb4 0.806 0.694 0.000 1
Cd1 0.402 0.098 0.500 1
Cd2 0.902 0.402 0.500 1
Cd3 0.098 0.598 0.500 1
Cd4 0.598 0.902 0.500 1
Ga1 0.500 0.500 0.000 1
Ga2 0.000 0.000 0.000 1
```

---

[3]
Here is a geometry-optimized LaPr2SmHo5 structure from Alexandria. Energies are from PBE.

**Magnetic moment**: 0.002 μB per atom
**Formation energy**: 0.25 eV per atom
**Space-group type**: No. 140

```
data_LaPr2SmHo5
_chemical_formula_sum 'La2 Pr4 Sm2 Ho10'
_symmetry_space_group_name_H-M 'P 1'
_symmetry_Int_Tables_number 1
_cell_length_a 8.753
_cell_length_b 8.753
_cell_length_c 10.001
_cell_angle_alpha 115.95
_cell_angle_beta 115.95
_cell_angle_gamma 90.00
loop_
_symmetry_equiv_pos_as_xyz
'x,y,z'
loop_
_atom_site_label
_atom_site_fract_x
_atom_site_fract_y
_atom_site_fract_z
_atom_site_occupancy
La1 0.750 0.750 0.500 1
La2 0.250 0.250 0.500 1
Ho1 0.653 0.153 0.725 1
Ho2 0.928 0.428 0.275 1
Ho3 0.000 0.000 0.000 1
Ho4 0.500 0.500 0.000 1
Ho5 0.347 0.847 0.275 1
Ho6 0.153 0.072 0.725 1
Ho7 0.072 0.572 0.725 1
Ho8 0.847 0.928 0.275 1
Ho9 0.428 0.347 0.275 1
Ho10 0.572 0.653 0.725 1
Pr1 0.118 0.382 0.000 1
Pr2 0.882 0.618 0.000 1
Pr3 0.382 0.882 0.000 1
Pr4 0.618 0.118 0.000 1
Sm1 0.750 0.250 0.500 1
Sm2 0.250 0.750 0.500 1
```

---

[4]
Here is a geometry-optimized AsPt2Au structure from Alexandria. Energies are from PBE.

**Magnetic moment**: 0.000 μB per atom
**Formation energy**: 0.08 eV per atom
**Space-group type**: No. 65

```
data_AsPt2Au
_chemical_formula_sum 'As1 Pt2 Au1'
_symmetry_space_group_name_H-M 'P 1'
_symmetry_Int_Tables_number 1
_cell_length_a 2.849
_cell_length_b 2.849
_cell_length_c 9.614
_cell_angle_alpha 90.00
_cell_angle_beta 90.00
_cell_angle_gamma 120.06
loop_
_symmetry_equiv_pos_as_xyz
'x,y,z'
loop_
_atom_site_label
_atom_site_fract_x
_atom_site_fract_y
_atom_site_fract_z
_atom_site_occupancy
Pt1 0.000 0.000 0.010 1
Pt2 0.000 0.000 0.490 1
As1 0.500 0.500 0.250 1
Au1 0.500 0.500 0.750 1
```

---

[5]
Here is a geometry-optimized BaCoOsS2 structure from Alexandria. Energies are from PBE.

**Uncorrected formation energy**: 924 meV per atom
**Magnetic moment**: 0.289 μB per atom
**Space-group type**: No. 123

```
data_BaCoOsS2
_chemical_formula_sum 'Ba1 Co1 Os1 S2'
_symmetry_space_group_name_H-M 'P 1'
_symmetry_Int_Tables_number 1
_cell_length_a 4.485
_cell_length_b 5.759
_cell_length_c 4.485
_cell_angle_alpha 90.00
_cell_angle_beta 90.00
_cell_angle_gamma 90.00
loop_
_symmetry_equiv_pos_as_xyz
'x,y,z'
loop_
_atom_site_label
_atom_site_fract_x
_atom_site_fract_y
_atom_site_fract_z
_atom_site_occupancy
Os1 0.500 0.500 0.500 1
S1 0.500 0.000 0.000 1
S2 0.000 0.000 0.500 1
Ba1 0.000 0.500 0.000 1
Co1 0.000 0.000 0.000 1
```

---

[6]
Here is a geometry-optimized Li2SmEr2Si2 structure from Alexandria. Energies are from PBE.

**Uncorrected formation energy**: -396 meV per atom
**Magnetic moment**: 0.000 μB per atom
**Space-group type**: No. 166

```
data_Li2SmEr2Si2
_chemical_formula_sum 'Li2 Sm1 Er2 Si2'
_symmetry_space_group_name_H-M 'P 1'
_symmetry_Int_Tables_number 1
_cell_length_a 4.462
_cell_length_b 4.462
_cell_length_c 9.109
_cell_angle_alpha 75.82
_cell_angle_beta 75.82
_cell_angle_gamma 60.00
loop_
_symmetry_equiv_pos_as_xyz
'x,y,z'
loop_
_atom_site_label
_atom_site_fract_x
_atom_site_fract_y
_atom_site_fract_z
_atom_site_occupancy
Sm1 0.000 0.000 0.000 1
Li1 0.405 0.405 0.785 1
Li2 0.595 0.595 0.215 1
Si1 0.259 0.259 0.222 1
Si2 0.741 0.741 0.778 1
Er1 0.128 0.128 0.615 1
Er2 0.872 0.872 0.385 1
```

---

[7]
Here is a geometry-optimized Tm4CdIr structure from Alexandria. Energies are from PBE.

**Energy above the most stable polymorph in this dataset**: 0.0000 eV/atom
**Magnetic moment**: 0.000 μB per atom
**Formation energy**: -0.54 eV per atom
**Space-group type**: No. 216

```
data_Tm4CdIr
_chemical_formula_sum 'Tm16 Cd4 Ir4'
_symmetry_space_group_name_H-M 'P 1'
_symmetry_Int_Tables_number 1
_cell_length_a 9.504
_cell_length_b 9.504
_cell_length_c 9.504
_cell_angle_alpha 60.00
_cell_angle_beta 60.00
_cell_angle_gamma 60.00
loop_
_symmetry_equiv_pos_as_xyz
'x,y,z'
loop_
_atom_site_label
_atom_site_fract_x
_atom_site_fract_y
_atom_site_fract_z
_atom_site_occupancy
Tm1 0.440 0.060 0.440 1
Tm2 0.600 0.201 0.600 1
Tm3 0.812 0.812 0.188 1
Tm4 0.600 0.600 0.600 1
Tm5 0.188 0.812 0.188 1
Tm6 0.201 0.600 0.600 1
Tm7 0.440 0.440 0.060 1
Tm8 0.812 0.188 0.812 1
Tm9 0.060 0.440 0.060 1
Tm10 0.060 0.440 0.440 1
Tm11 0.060 0.060 0.440 1
Tm12 0.188 0.188 0.812 1
Tm13 0.600 0.600 0.201 1
Tm14 0.440 0.060 0.060 1
Tm15 0.812 0.188 0.188 1
Tm16 0.188 0.812 0.812 1
Cd1 0.831 0.831 0.506 1
Cd2 0.831 0.831 0.831 1
Cd3 0.506 0.831 0.831 1
Cd4 0.831 0.506 0.831 1
Ir1 0.392 0.825 0.392 1
Ir2 0.392 0.392 0.825 1
Ir3 0.392 0.392 0.392 1
Ir4 0.825 0.392 0.392 1
```

---

[8]
Here is a geometry-optimized Y2NiMo structure from Alexandria. Energies are from PBE.

**Energy above the most stable polymorph in this dataset**: 0.3469 eV/atom
**Magnetic moment**: 0.353 μB per atom
**Formation energy**: 0.38 eV per atom
**Space-group type**: No. 166

```
data_Y2NiMo
_chemical_formula_sum 'Y2 Ni1 Mo1'
_symmetry_space_group_name_H-M 'P 1'
_symmetry_Int_Tables_number 1
_cell_length_a 8.786
_cell_length_b 8.786
_cell_length_c 8.786
_cell_angle_alpha 22.41
_cell_angle_beta 22.41
_cell_angle_gamma 22.41
loop_
_symmetry_equiv_pos_as_xyz
'x,y,z'
loop_
_atom_site_label
_atom_site_fract_x
_atom_site_fract_y
_atom_site_fract_z
_atom_site_occupancy
Mo1 0.250 0.250 0.250 1
Ni1 0.750 0.750 0.750 1
Y1 0.006 0.006 0.006 1
Y2 0.494 0.494 0.494 1
```

---

Copy entry 4 word for word.
Here is a geometry-optimized AsPt2Au structure from Alexandria. Energies are from PBE.

**Magnetic moment**: 0.000 μB per atom
**Formation energy**: 0.08 eV per atom
**Space-group type**: No. 65

```
data_AsPt2Au
_chemical_formula_sum 'As1 Pt2 Au1'
_symmetry_space_group_name_H-M 'P 1'
_symmetry_Int_Tables_number 1
_cell_length_a 2.849
_cell_length_b 2.849
_cell_length_c 9.614
_cell_angle_alpha 90.00
_cell_angle_beta 90.00
_cell_angle_gamma 120.06
loop_
_symmetry_equiv_pos_as_xyz
'x,y,z'
loop_
_atom_site_label
_atom_site_fract_x
_atom_site_fract_y
_atom_site_fract_z
_atom_site_occupancy
Pt1 0.000 0.000 0.010 1
Pt2 0.000 0.000 0.490 1
As1 0.500 0.500 0.250 1
Au1 0.500 0.500 0.750 1
```

---

Which value of magnetic moment does entry 4 give? 0.000 μB per atom

---

Which of these has the highest magnetic moment? Y2NiMo